No. 1
A plane-wave DFT calculation with GGA-PBE was carried out for a relaxed Sm3Dy6Tm2Tl crystal.

Cell and atoms, written as POSCAR:
```
Sm3Dy6Tm2Tl
1.0
3.065 -5.313 0.000
3.065 5.313 0.000
-2.062 0.000 11.420
Sm Dy Tm Tl
3 6 2 1
Direct
0.000 0.000 0.000
0.333 0.667 0.000
0.667 0.333 0.000
0.091 0.420 0.256
0.251 0.251 0.745
0.420 0.091 0.256
0.580 0.909 0.744
0.749 0.749 0.255
0.909 0.580 0.744
0.166 0.834 0.500
0.834 0.166 0.500
0.500 0.500 0.500
```

Output
- Symmetry: C2/m
- Formation energy from the elements: -7 meV per atom

=====

No. 2
A plane-wave DFT calculation with GGA-PBE was carried out for a relaxed TbHo5Tm crystal.

Cell and atoms, written as POSCAR:
```
TbHo5Tm
1.0
9.158 0.000 0.000
0.000 3.566 0.000
-3.376 0.000 13.362
Tb Ho Tm
2 10 2
Direct
0.103 0.250 0.113
0.897 0.750 0.887
0.002 0.750 0.379
0.201 0.250 0.877
0.332 0.250 0.510
0.354 0.750 0.723
0.412 0.750 0.077
0.588 0.250 0.923
0.646 0.250 0.277
0.668 0.750 0.490
0.799 0.750 0.123
0.998 0.250 0.621
0.336 0.750 0.302
0.664 0.250 0.698
```

Output
- Symmetry: P2_1/m
- Formation energy from the elements: 67 meV per atom
- Polymorph energy (0 for the lowest one): 0.0000 eV per atom

=====

No. 3
A plane-wave DFT calculation with GGA-PBE was carried out for a relaxed UCu4P2 crystal.

Cell and atoms, written as POSCAR:
```
UCu4P2
1.0
1.836 -7.335 0.000
1.836 7.335 0.000
0.000 0.000 3.682
U Cu P
1 4 2
Direct
0.000 0.000 0.000
0.187 0.813 0.500
0.311 0.689 0.000
0.689 0.311 0.000
0.813 0.187 0.500
0.415 0.585 0.500
0.585 0.415 0.500
```

Output
- Symmetry: Cmmm
- Formation energy from the elements: -359 meV per atom

=====

No. 4
A plane-wave DFT calculation with GGA-PBE was carried out for a relaxed DyTm3Al crystal.

Cell and atoms, written as POSCAR:
```
DyTm3Al
1.0
6.390 -1.771 0.000
6.390 1.771 0.000
-1.108 0.000 12.251
Dy Tm Al
2 6 2
Direct
0.225 0.225 0.249
0.775 0.775 0.751
0.033 0.033 0.694
0.141 0.141 0.951
0.364 0.364 0.519
0.636 0.636 0.481
0.859 0.859 0.049
0.967 0.967 0.306
0.450 0.450 0.877
0.550 0.550 0.123
```

Output
- Symmetry: C2/m
- Formation energy from the elements: -151 meV per atom

=====

No. 5
A plane-wave DFT calculation with GGA-PBE was carried out for a relaxed Ac5Ce3H12 crystal.

Cell and atoms, written as POSCAR:
```
Ac5Ce3H12
1.0
-7.075 7.075 7.075
7.075 -7.075 7.075
7.075 7.075 -7.075
Ac Ce H
20 12 48
Direct
0.000 0.000 0.000
0.000 0.000 0.500
0.000 0.500 0.000
0.000 0.500 0.500
0.125 0.750 0.875
0.125 0.875 0.250
0.250 0.125 0.875
0.250 0.625 0.375
0.375 0.250 0.625
0.375 0.625 0.750
0.500 0.000 0.000
0.500 0.000 0.500
0.500 0.500 0.000
0.500 0.500 0.500
0.625 0.375 0.250
0.625 0.750 0.375
0.750 0.375 0.625
0.750 0.875 0.125
0.875 0.125 0.750
0.875 0.250 0.125
0.125 0.250 0.375
0.125 0.375 0.750
0.250 0.375 0.125
0.250 0.875 0.625
0.375 0.125 0.250
0.375 0.750 0.125
0.625 0.250 0.875
0.625 0.875 0.750
0.750 0.125 0.375
0.750 0.625 0.875
0.875 0.625 0.250
0.875 0.750 0.625
0.073 0.736 0.654
0.073 0.838 0.419
0.081 0.662 0.427
0.081 0.918 0.654
0.082 0.236 0.162
0.082 0.346 0.919
0.154 0.236 0.573
0.154 0.418 0.581
0.162 0.082 0.236
0.162 0.581 0.927
0.236 0.162 0.082
0.236 0.573 0.154
0.264 0.346 0.927
0.264 0.418 0.338
0.338 0.264 0.418
0.338 0.573 0.919
0.346 0.919 0.082
0.346 0.927 0.264
0.418 0.338 0.264
0.418 0.581 0.154
0.419 0.073 0.838
0.419 0.846 0.582
0.427 0.081 0.662
0.427 0.846 0.764
0.573 0.154 0.236
0.573 0.919 0.338
0.581 0.154 0.418
0.581 0.927 0.162
0.582 0.419 0.846
0.582 0.662 0.736
0.654 0.073 0.736
0.654 0.081 0.918
0.662 0.427 0.081
0.662 0.736 0.582
0.736 0.582 0.662
0.736 0.654 0.073
0.764 0.427 0.846
0.764 0.838 0.918
0.838 0.419 0.073
0.838 0.918 0.764
0.846 0.582 0.419
0.846 0.764 0.427
0.918 0.654 0.081
0.918 0.764 0.838
0.919 0.082 0.346
0.919 0.338 0.573
0.927 0.162 0.581
0.927 0.264 0.346
```

Output
- Symmetry: Ia-3d

=====

No. 6
A plane-wave DFT calculation with GGA-PBE was carried out for a relaxed LuHfAl4 crystal.

Cell and atoms, written as POSCAR:
```
LuHfAl4
1.0
0.000 3.802 3.802
3.802 0.000 3.802
3.802 3.802 0.000
Lu Hf Al
1 1 4
Direct
0.000 0.000 0.000
0.250 0.250 0.250
0.126 0.625 0.625
0.625 0.126 0.625
0.625 0.625 0.126
0.625 0.625 0.625
```

Output
- Symmetry: F-43m
- Formation energy from the elements: -451 meV per atom

=====

No. 7
A plane-wave DFT calculation with GGA-PBE was carried out for a relaxed Ga2BiPb2 crystal.

Cell and atoms, written as POSCAR:
```
Ga2BiPb2
1.0
-2.410 2.410 6.120
2.410 -2.410 6.120
2.410 2.410 -6.120
Ga Bi Pb
2 1 2
Direct
0.100 0.100 0.000
0.900 0.900 0.000
0.500 0.500 0.000
0.250 0.750 0.500
0.750 0.250 0.500
```

Output
- Symmetry: I4/mmm
- Formation energy from the elements: 182 meV per atom
- Polymorph energy (0 for the lowest one): 0.1167 eV per atom

=====

No. 8
A plane-wave DFT calculation with GGA-PBE was carried out for a relaxed YRe2Cl crystal.

Cell and atoms, written as POSCAR:
```
YRe2Cl
1.0
1.471 0.849 9.426
-1.471 0.849 9.426
0.000 -1.698 9.426
Y Re Cl
1 2 1
Direct
0.000 0.000 0.000
0.242 0.242 0.242
0.758 0.758 0.758
0.500 0.500 0.500
```

Output
- Symmetry: R-3m
- Energy relative to the elements, uncorrected: 0.93 eV per atom
- Polymorph energy (0 for the lowest one): 1.1235 eV per atom

=====

No. 9
A plane-wave DFT calculation with GGA-PBE was carried out for a relaxed Ba2NaAu crystal.

Cell and atoms, written as POSCAR:
```
Ba2NaAu
1.0
2.330 1.345 11.722
-2.330 1.345 11.722
0.000 -2.690 11.722
Ba Na Au
2 1 1
Direct
0.115 0.115 0.115
0.885 0.885 0.885
0.000 0.000 0.000
0.500 0.500 0.500
```

Output
- Symmetry: R-3m
- Formation energy from the elements: -270 meV per atom
- Polymorph energy (0 for the lowest one): 0.1058 eV per atom

=====

No. 10
A plane-wave DFT calculation with GGA-PBE was carried out for a relaxed CeAlZnGe crystal.

Cell and atoms, written as POSCAR:
```
CeAlZnGe
1.0
0.000 3.414 3.414
3.414 0.000 3.414
3.414 3.414 0.000
Ce Al Zn Ge
1 1 1 1
Direct
0.000 0.000 0.000
0.500 0.500 0.500
0.250 0.250 0.250
0.750 0.750 0.750
```

Output
- Symmetry: F-43m
- Formation energy from the elements: -274 meV per atom

=====

no.,V (Å³/cell),total magnetization (μB per atom),VASP energy (eV/atom)
1,372,0.00,-4.431
2,436,0.00,-4.503
3,99,0.28,-5.858
4,277,0.07,-4.503
5,1417,0.17,-4.264
6,110,0.00,-5.359
7,142,0.00,-3.288
8,71,0.00,-7.373
9,220,0.00,-2.381
10,80,0.15,-4.166